Version P
Here is a relaxed structure of Nd4DyEr from Alexandria via LeMat-Bulk. Energies are from GGA-PBE.

a b c (Å): 5.735 12.210 6.756
angles (deg): 72.93 115.12 90.00
Fractional positions:
Nd1 0.015 0.784 0.568
Nd2 0.554 0.284 0.568
Nd3 0.797 0.049 0.098
Nd4 0.301 0.549 0.098
Nd5 0.203 0.951 0.902
Nd6 0.699 0.451 0.902
Nd7 0.985 0.216 0.432
Nd8 0.446 0.716 0.432
Dy1 0.254 0.250 0.000
Dy2 0.746 0.750 0.000
Er1 0.000 0.500 0.500
Er2 0.500 0.000 0.500

Version Q
Here is a relaxed structure of Nd4DyEr from Alexandria via LeMat-Bulk. Energies are from GGA-PBE.

a b c (Å): 3.488 8.290 8.290
angles (deg): 90.03 90.00 90.00
Fractional positions:
Nd1 0.500 0.262 0.739
Nd2 0.000 0.760 0.760
Nd3 0.000 0.240 0.240
Nd4 0.500 0.738 0.261
Dy1 0.500 0.000 0.000
Er1 0.000 0.500 0.500

Best to worst by energy: version P, version Q.

Version P
Here is a relaxed structure of Nd7Dy2Er3 from Alexandria via LeMat-Bulk. Energies are from GGA-PBE.

a b c (Å): 3.626 5.873 19.048
angles (deg): 93.93 90.00 90.00
Fractional positions:
Nd1 0.500 0.742 0.465
Nd2 0.500 0.258 0.535
Nd3 0.000 0.671 0.145
Nd4 0.000 0.000 0.000
Nd5 0.000 0.329 0.855
Nd6 0.500 0.826 0.816
Nd7 0.500 0.174 0.184
Dy1 0.500 0.704 0.298
Dy2 0.500 0.296 0.702
Er1 0.500 0.500 0.000
Er2 0.000 0.216 0.368
Er3 0.000 0.784 0.632

Version Q
Here is a relaxed structure of Nd7Dy2Er3 from Alexandria via LeMat-Bulk. Energies are from GGA-PBE.

a b c (Å): 5.519 6.283 12.335
angles (deg): 90.19 89.99 90.17
Fractional positions:
Nd1 0.502 0.244 0.455
Nd2 0.498 0.756 0.545
Nd3 0.000 0.444 0.184
Nd4 0.000 0.000 0.000
Nd5 0.000 0.556 0.816
Nd6 0.500 0.911 0.828
Nd7 0.500 0.089 0.172
Dy1 0.500 0.613 0.277
Dy2 0.500 0.387 0.723
Er1 0.500 0.500 0.000
Er2 0.000 0.934 0.344
Er3 0.000 0.066 0.656

Best to worst by energy: version P, version Q.

Version P
Here is a relaxed structure of NdDy3Er7 from Alexandria via LeMat-Bulk. Energies are from GGA-PBE.

a b c (Å): 8.563 7.007 7.007
angles (deg): 120.00 90.00 90.00
Fractional positions:
Nd1 0.447 0.333 0.667
Dy1 0.785 0.501 0.499
Dy2 0.785 0.501 0.001
Dy3 0.785 0.999 0.499
Er1 0.117 0.168 0.832
Er2 0.117 0.168 0.335
Er3 0.119 0.667 0.333
Er4 0.448 0.832 0.168
Er5 0.448 0.336 0.168
Er6 0.448 0.832 0.664
Er7 0.117 0.665 0.832

Version Q
Here is a relaxed structure of NdDy3Er7 from Alexandria via LeMat-Bulk. Energies are from GGA-PBE.

a b c (Å): 8.817 9.851 5.494
angles (deg): 90.01 128.52 105.05
Fractional positions:
Nd1 0.500 0.500 0.500
Dy1 0.223 0.005 0.723
Dy2 0.000 0.500 0.000
Dy3 0.777 0.995 0.277
Er1 0.927 0.832 0.927
Er2 0.823 0.642 0.323
Er3 0.650 0.290 0.150
Er4 0.350 0.710 0.850
Er5 0.500 0.000 0.500
Er6 0.177 0.358 0.677
Er7 0.073 0.168 0.073

Best to worst by energy: version Q, version P.

Version P
Here is a relaxed structure of Nd8DyEr2 from Alexandria via LeMat-Bulk. Energies are from GGA-PBE.

a b c (Å): 5.490 8.563 8.563
angles (deg): 104.95 90.01 90.01
Fractional positions:
Nd1 0.000 0.969 0.700
Nd2 0.000 0.700 0.969
Nd3 0.500 0.665 0.665
Nd4 0.500 0.253 0.747
Nd5 0.500 0.747 0.253
Nd6 0.500 0.335 0.335
Nd7 0.000 0.300 0.031
Nd8 0.000 0.031 0.300
Dy1 0.500 0.000 0.000
Er1 0.000 0.619 0.381
Er2 0.000 0.381 0.619

Version Q
Here is a relaxed structure of Nd8DyEr2 from Alexandria via LeMat-Bulk. Energies are from GGA-PBE.

a b c (Å): 6.713 10.392 10.392
angles (deg): 38.24 59.83 59.83
Fractional positions:
Nd1 0.232 0.348 0.826
Nd2 0.768 0.174 0.652
Nd3 0.168 0.755 0.755
Nd4 0.832 0.245 0.245
Nd5 0.232 0.826 0.348
Nd6 0.768 0.652 0.174
Nd7 0.725 0.595 0.595
Nd8 0.275 0.405 0.405
Dy1 0.000 0.000 0.000
Er1 0.585 0.803 0.803
Er2 0.415 0.197 0.197

Best to worst by energy: version P, version Q.

Version P
Here is a relaxed structure of Nd6DyEr2 from Alexandria via LeMat-Bulk. Energies are from GGA-PBE.

a b c (Å): 3.632 8.889 13.052
angles (deg): 132.74 81.96 90.09
Fractional positions:
Nd1 0.891 0.553 0.217
Nd2 0.109 0.447 0.783
Nd3 0.665 0.669 0.671
Nd4 0.779 0.107 0.441
Nd5 0.221 0.893 0.559
Nd6 0.335 0.331 0.329
Dy1 0.000 0.000 0.000
Er1 0.445 0.778 0.109
Er2 0.555 0.222 0.891

Version Q
Here is a relaxed structure of Nd6DyEr2 from Alexandria via LeMat-Bulk. Energies are from GGA-PBE.

a b c (Å): 6.252 10.133 10.133
angles (deg): 71.53 85.04 85.04
Fractional positions:
Nd1 0.486 0.688 0.407
Nd2 0.014 0.593 0.312
Nd3 0.514 0.312 0.593
Nd4 0.986 0.407 0.688
Nd5 0.653 0.074 0.356
Nd6 0.847 0.644 0.926
Nd7 0.347 0.926 0.644
Nd8 0.153 0.356 0.074
Nd9 0.319 0.740 0.021
Nd10 0.181 0.979 0.260
Nd11 0.681 0.260 0.979
Nd12 0.819 0.021 0.740
Dy1 0.250 0.100 0.900
Dy2 0.750 0.900 0.100
Er1 0.416 0.567 0.766
Er2 0.084 0.234 0.433
Er3 0.584 0.433 0.234
Er4 0.916 0.766 0.567

Best to worst by energy: version P, version Q.

Version P
Here is a relaxed structure of PmNdDyEr from Alexandria via LeMat-Bulk. Energies are from GGA-PBE.

a b c (Å): 5.092 5.094 6.217
angles (deg): 114.19 114.17 90.00
Fractional positions:
Pm1 0.945 0.945 0.891
Nd1 0.696 0.196 0.391
Dy1 0.195 0.695 0.391
Er1 0.446 0.446 0.891

Version Q
Here is a relaxed structure of PmNdDyEr from Alexandria via LeMat-Bulk. Energies are from GGA-PBE.

a b c (Å): 5.723 5.723 5.723
angles (deg): 60.00 60.00 60.00
Fractional positions:
Nd1 0.250 0.250 0.250
Dy1 0.000 0.000 0.000
Pm1 0.750 0.750 0.750
Er1 0.500 0.500 0.500

Best to worst by energy: version P, version Q.

Version P
Here is a relaxed structure of NdSmDyEr from Alexandria via LeMat-Bulk. Energies are from GGA-PBE.

a b c (Å): 5.715 5.715 5.715
angles (deg): 60.00 60.00 60.00
Fractional positions:
Dy1 0.000 0.000 0.000
Nd1 0.250 0.250 0.250
Sm1 0.750 0.750 0.750
Er1 0.500 0.500 0.500

Version Q
Here is a relaxed structure of NdSmDyEr from Alexandria via LeMat-Bulk. Energies are from GGA-PBE.

a b c (Å): 5.085 5.086 6.206
angles (deg): 114.19 114.18 90.00
Fractional positions:
Nd1 0.696 0.196 0.391
Sm1 0.945 0.945 0.891
Dy1 0.196 0.696 0.391
Er1 0.446 0.446 0.891

Best to worst by energy: version Q, version P.

Version P
Here is a relaxed structure of NdDyYEr from Alexandria via LeMat-Bulk. Energies are from GGA-PBE.

a b c (Å): 3.596 3.596 11.765
angles (deg): 90.00 98.78 119.99
Fractional positions:
Nd1 0.971 0.384 0.370
Dy1 0.473 0.134 0.622
Y1 0.133 0.965 0.112
Er1 0.301 0.548 0.866

Version Q
Here is a relaxed structure of NdDyYEr from Alexandria via LeMat-Bulk. Energies are from GGA-PBE.

a b c (Å): 5.702 5.702 5.702
angles (deg): 60.00 60.00 60.00
Fractional positions:
Y1 0.250 0.250 0.250
Dy1 0.500 0.500 0.500
Nd1 0.000 0.000 0.000
Er1 0.750 0.750 0.750

Best to worst by energy: version P, version Q.